(1)
Here is a relaxed LaBe2Ag crystal from Alexandria. Energies are from PBE-GGA.

Results
- Symmetry: No. 47
- Offset from the most stable computed form: 594 meV/atom
- DFT formation energy: 0.615 eV/atom

abc: 3.357 5.049 4.577
angles: 90.00 90.00 90.00
Sites, in units of the cell vectors:
Be: 0.000 0.000 0.000
Be: 0.500 0.500 0.000
Ag: 0.000 0.500 0.500
La: 0.500 0.000 0.500

---

(2)
Here is a relaxed LaBeAg2 crystal from Alexandria. Energies are from PBE-GGA.

Results
- Symmetry: No. 10
- DFT formation energy: 0.103 eV/atom

abc: 3.911 4.802 4.813
angles: 71.69 90.00 90.00
Sites, in units of the cell vectors:
Be: 0.500 0.250 0.250
Ag: 0.000 0.073 0.072
Ag: 0.000 0.427 0.428
La: 0.500 0.750 0.750

---

(3)
Here is a relaxed LaBe2Ag crystal from Alexandria. Energies are from PBE-GGA.

Results
- Symmetry: No. 71
- Offset from the most stable computed form: 199 meV/atom
- DFT formation energy: 0.219 eV/atom

abc: 4.754 4.754 4.754
angles: 125.60 111.73 92.73
Sites, in units of the cell vectors:
Be: 0.075 0.075 0.000
Be: 0.425 0.425 0.000
Ag: 0.250 0.750 0.500
La: 0.750 0.250 0.500

---

(4)
Here is a relaxed LaBeAg2 crystal from Alexandria. Energies are from PBE-GGA.

Results
- Symmetry: No. 12
- DFT formation energy: 0.386 eV/atom

abc: 4.839 5.958 3.462
angles: 74.76 86.09 112.72
Sites, in units of the cell vectors:
Be: 0.000 0.500 0.500
Ag: 0.000 0.000 0.000
Ag: 0.500 0.000 0.500
La: 0.500 0.500 0.000

---

(5)
Here is a relaxed LaBeAg2 crystal from Alexandria. Energies are from PBE-GGA.

Results
- Symmetry: No. 122
- DFT formation energy: 0.223 eV/atom

abc: 5.063 5.063 8.521
angles: 72.72 72.72 90.00
Sites, in units of the cell vectors:
Be: 0.500 0.500 0.000
Be: 0.250 0.750 0.500
Ag: 0.462 0.125 0.250
Ag: 0.288 0.625 0.250
Ag: 0.375 0.538 0.750
Ag: 0.875 0.712 0.750
La: 0.000 0.000 0.000
La: 0.750 0.250 0.500

---

(6)
Here is a relaxed LaBe2Ag crystal from Alexandria. Energies are from PBE-GGA.

Results
- Symmetry: No. 123
- Offset from the most stable computed form: 576 meV/atom
- DFT formation energy: 0.596 eV/atom

abc: 4.399 4.311 4.311
angles: 90.00 90.00 90.00
Sites, in units of the cell vectors:
Be: 0.000 0.000 0.000
Be: 0.000 0.500 0.500
Ag: 0.500 0.000 0.500
La: 0.500 0.500 0.000

---

(7)
Here is a relaxed LaBe2Ag crystal from Alexandria. Energies are from PBE-GGA.

Results
- Symmetry: No. 123
- Offset from the most stable computed form: 206 meV/atom
- DFT formation energy: 0.226 eV/atom

abc: 3.145 3.149 6.947
angles: 90.00 90.00 90.00
Sites, in units of the cell vectors:
Be: 0.000 0.000 0.924
Be: 0.000 0.000 0.576
Ag: 0.500 0.500 0.750
La: 0.500 0.500 0.250

---

(8)
Here is a relaxed LaMnBeAg2 crystal from Alexandria. Energies are from PBE-GGA.

Results
- Symmetry: No. 123
- DFT formation energy: 0.399 eV/atom

abc: 5.008 4.376 5.008
angles: 90.00 90.00 90.00
Each line ends with the local moment (μB).
Sites, in units of the cell vectors:
Be: 0.000 0.500 0.000  -0.07
Mn: 0.000 0.000 0.000  3.24
Ag: 0.000 0.000 0.500  0.06
Ag: 0.500 0.000 0.000  0.04
La: 0.500 0.500 0.500  -0.18

---

(9)
Here is a relaxed La2BeAgOs crystal from Alexandria. Energies are from PBE-GGA.

Results
- Symmetry: No. 123
- DFT formation energy: 0.005 eV/atom

abc: 5.518 5.518 4.413
angles: 90.00 90.00 90.00
Sites, in units of the cell vectors:
Be: 0.000 0.000 0.500
Os: 0.000 0.000 0.000
Ag: 0.500 0.500 0.500
La: 0.000 0.500 0.000
La: 0.500 0.000 0.000

---

(10)
Here is a relaxed LaPmBeAg crystal from Alexandria. Energies are from PBE-GGA.

Results
- Symmetry: No. 216
- DFT formation energy: 0.020 eV/atom

abc: 5.225 5.225 5.225
angles: 60.00 60.00 60.00
Sites, in units of the cell vectors:
Be: 0.750 0.750 0.750
La: 0.500 0.500 0.500
Ag: 0.250 0.250 0.250
Pm: 0.000 0.000 0.000

---

(11)
Here is a relaxed LaBeAg2Pt crystal from Alexandria. Energies are from PBE-GGA.

Results
- Symmetry: No. 123
- DFT formation energy: -0.312 eV/atom

abc: 4.595 4.595 4.636
angles: 90.00 90.00 90.00
Sites, in units of the cell vectors:
Be: 0.000 0.000 0.000
Ag: 0.000 0.500 0.000
Ag: 0.500 0.000 0.000
Pt: 0.000 0.000 0.500
La: 0.500 0.500 0.500

---

(12)
Here is a relaxed LaBeAgPt2 crystal from Alexandria. Energies are from PBE-GGA.

Results
- Symmetry: No. 123
- DFT formation energy: -0.578 eV/atom

abc: 4.568 4.568 4.476
angles: 90.00 90.00 90.00
Sites, in units of the cell vectors:
Be: 0.000 0.000 0.000
Ag: 0.000 0.000 0.500
Pt: 0.000 0.500 0.000
Pt: 0.500 0.000 0.000
La: 0.500 0.500 0.500